[1]
The following is a DFT calculation (PBE-GGA) of a relaxed structure of Pr2Y8Sc.

Unit cell a=8.966 b=15.913 c=5.886 alpha=90.00 beta=120.89 gamma=90.00
Space group C2/m (No. 12)
Asymmetric unit:
Pr 0.000 0.195 0.000 [4 per cell]
Y 0.000 0.295 0.500 [4 per cell]
Y 0.091 0.000 0.302 [4 per cell]
Y 0.212 0.388 0.159 [8 per cell]
Sc 0.000 0.500 0.500 [2 per cell]

Results
As for the calculated formation energy: 0.17 eV/atom. As for the energy: -5.977 eV per atom. For the magnetic moment, the calculation gives 0.0 μB/f.u.

=====

[2]
The following is a DFT calculation (PBE-GGA) of a relaxed structure of Pr6Y5Sc2.

Unit cell a=11.596 b=20.586 c=3.613 alpha=90.00 beta=90.00 gamma=90.00
Space group Pbam (No. 55)
Asymmetric unit:
Pr 0.081 0.156 0.000 [4 per cell]
Pr 0.169 0.881 0.500 [4 per cell]
Pr 0.216 0.554 0.500 [4 per cell]
Y 0.000 0.000 0.000 [2 per cell]
Y 0.056 0.421 0.000 [4 per cell]
Y 0.144 0.720 0.000 [4 per cell]
Sc 0.114 0.288 0.500 [4 per cell]

Results
As for the calculated formation energy: 0.06 eV/atom. As for the energy: -5.604 eV per atom. For the magnetic moment, the calculation gives 0.0 μB/f.u.

=====

[3]
The following is a DFT calculation (PBE-GGA) of a relaxed structure of Pr7Y2Sc2.

Unit cell a=8.492 b=10.935 c=8.257 alpha=90.00 beta=102.58 gamma=90.00
Space group C2/m (No. 12)
Asymmetric unit:
Pr 0.000 0.000 0.000 [2 per cell]
Pr 0.202 0.281 0.181 [8 per cell]
Pr 0.203 0.000 0.485 [4 per cell]
Y 0.077 0.500 0.818 [4 per cell]
Sc 0.000 0.289 0.500 [4 per cell]

Results
As for the calculated formation energy: 0.13 eV/atom. As for the energy: -5.234 eV per atom. Its energy above the most stable polymorph in this dataset is 0 meV per atom. For the magnetic moment, the calculation gives 0.0 μB/f.u.

=====

[4]
The following is a DFT calculation (PBE-GGA) of a relaxed structure of PrY3Sc2.

Unit cell a=7.056 b=16.985 c=6.196 alpha=90.00 beta=90.00 gamma=90.00
Space group Imma (No. 74)
Asymmetric unit:
Pr 0.000 0.250 0.021 [4 per cell]
Y 0.000 0.062 0.750 [8 per cell]
Y 0.000 0.250 0.522 [4 per cell]
Sc 0.250 0.105 0.250 [8 per cell]

Results
As for the calculated formation energy: 0.16 eV/atom. As for the energy: -5.983 eV per atom. For the magnetic moment, the calculation gives 0.0 μB/f.u.

=====

[5]
The following is a DFT calculation (PBE-GGA) of a relaxed structure of PrY2Sc.

Unit cell a=3.540 b=3.540 c=9.985 alpha=90.00 beta=90.00 gamma=90.00
Space group P4/mmm (No. 123)
Asymmetric unit:
Pr 0.000 0.000 0.000 [1 per cell]
Y 0.500 0.500 0.267 [2 per cell]
Sc 0.000 0.000 0.500 [1 per cell]

Results
As for the calculated formation energy: 0.05 eV/atom. As for the energy: -5.958 eV per atom. Its energy above the most stable polymorph in this dataset is 20 meV per atom. For the magnetic moment, the calculation gives 0.0 μB/f.u.

=====

[6]
The following is a DFT calculation (PBE-GGA) of a relaxed structure of PrY4Sc.

Unit cell a=11.376 b=3.440 c=11.358 alpha=90.00 beta=118.13 gamma=90.00
Space group C2/m (No. 12)
Asymmetric unit:
Pr 0.000 0.000 0.000 [2 per cell]
Y 0.154 0.500 0.835 [4 per cell]
Y 0.157 0.000 0.350 [4 per cell]
Sc 0.000 0.500 0.500 [2 per cell]

Results
As for the calculated formation energy: 0.20 eV/atom. As for the energy: -5.959 eV per atom. Its energy above the most stable polymorph in this dataset is 0 meV per atom. For the magnetic moment, the calculation gives 0.0 μB/f.u.